Li2FePCO7 after structural relaxation. Source: Alexandria via LeMat-Bulk, functional GGA+U.

The value obtained for the magnetization is 5.0 μB per formula unit. As for the total energy: -6.834 eV/atom.

It has space group P-1 (No. 2), with a = 5.038 Å, b = 6.338 Å, c = 8.544 Å, α = 95.59°, β = 92.27° and γ = 94.40°. Symmetry generates all atoms from Li at (0.162, 0.028, 0.210), Li at (0.252, 0.539, 0.231), Fe at (0.306, 0.750, 0.648), P at (0.208, 0.242, 0.578), C at (0.245, 0.749, 0.938), O at (0.043, 0.711, 0.830), O at (0.086, 0.700, 0.446), O at (0.208, 0.055, 0.682), O at (0.208, 0.754, 0.084), O at (0.325, 0.178, 0.416), O at (0.378, 0.439, 0.659) and O at (0.476, 0.782, 0.878).